[1]
Below is an optimized crystal structure of Ca3Al2N4, with properties calculated at the PBE level.

abc: 5.8561 10.7502 15.9164
angles: 90.00 90.00 90.00
Fractional coordinates of all 72 atoms:
N (0.9770, 0.7921, 0.8282)
Al (0.0131, 0.5088, 0.9930)
Ca (0.2217, 0.7668, 0.0588)
N (0.4806, 0.6665, 0.7965)
Al (0.9869, 0.0088, 0.5070)
Al (0.5070, 0.0183, 0.6309)
Ca (0.7917, 0.2411, 0.0619)
Ca (0.4665, 0.0094, 0.8202)
N (0.6183, 0.3648, 0.1722)
N (0.9806, 0.8335, 0.2035)
N (0.8717, 0.8732, 0.4421)
Ca (0.9634, 0.0280, 0.7037)
N (0.0194, 0.3335, 0.2965)
N (0.1292, 0.6125, 0.3091)
Al (0.4869, 0.4912, 0.4930)
Ca (0.4977, 0.5104, 0.0737)
Al (0.4930, 0.5183, 0.8691)
Al (0.7447, 0.7505, 0.7486)
Al (0.7629, 0.7564, 0.1284)
N (0.6208, 0.3730, 0.5655)
N (0.1183, 0.1352, 0.8278)
N (0.6283, 0.1268, 0.9421)
Al (0.2629, 0.7436, 0.8716)
N (0.7251, 0.0954, 0.5551)
N (0.7175, 0.5266, 0.4107)
Al (0.7553, 0.2495, 0.2486)
Ca (0.7604, 0.2638, 0.8336)
N (0.3708, 0.3875, 0.8091)
N (0.1208, 0.1270, 0.4345)
N (0.5230, 0.2079, 0.3282)
Ca (0.4634, 0.4720, 0.2963)
Ca (0.2783, 0.2332, 0.5588)
Ca (0.0023, 0.4896, 0.5737)
N (0.5194, 0.1665, 0.7035)
Ca (0.5366, 0.9720, 0.2037)
Ca (0.2396, 0.7638, 0.6664)
Al (0.2553, 0.2505, 0.7514)
Ca (0.5335, 0.5094, 0.6798)
N (0.4770, 0.7079, 0.1718)
Al (0.2447, 0.7495, 0.2514)
N (0.8817, 0.6352, 0.6722)
N (0.2251, 0.4046, 0.4449)
N (0.3817, 0.8648, 0.3278)
Al (0.7371, 0.2436, 0.6284)
Ca (0.2083, 0.7411, 0.4381)
Ca (0.9665, 0.4906, 0.1798)
N (0.8792, 0.6270, 0.0655)
N (0.2175, 0.9734, 0.5893)
N (0.3717, 0.6268, 0.5579)
Ca (0.7396, 0.7362, 0.3336)
Ca (0.7217, 0.7332, 0.9412)
N (0.1283, 0.3732, 0.0579)
N (0.6292, 0.8875, 0.6909)
N (0.3792, 0.8730, 0.9345)
Ca (0.7083, 0.7589, 0.5619)
Ca (0.2604, 0.2362, 0.1664)
N (0.7749, 0.9046, 0.0551)
N (0.0230, 0.2921, 0.6718)
Al (0.9930, 0.9817, 0.1309)
Ca (0.9977, 0.9896, 0.9263)
Ca (0.7783, 0.2668, 0.4412)
Ca (0.0335, 0.9906, 0.3202)
N (0.8708, 0.1125, 0.1909)
Ca (0.0366, 0.5280, 0.7963)
Al (0.5131, 0.9912, 0.0070)
N (0.2749, 0.5954, 0.9449)
N (0.7825, 0.4734, 0.9107)
Ca (0.2917, 0.2589, 0.9381)
Al (0.0070, 0.4817, 0.3691)
Ca (0.5023, 0.0104, 0.4263)
N (0.2825, 0.0266, 0.0893)
Al (0.2371, 0.2564, 0.3716)

Volume = 125 Å³/f.u.
DFT total energy = -6.337 eV/atom
Formation energy without anion corrections = -1.138 eV/atom
Space group = P2_12_12_1 (19)
Density = 3.05 g/cm3



[2]
Below is an optimized crystal structure of Y2SnRh, with properties calculated at the PBE level.

abc: 3.9562 6.2450 8.7774
angles: 112.39 90.00 90.00
Fractional coordinates of all 8 atoms:
Rh (0.7500, 0.6746, 0.2954)
Y (0.2500, 0.7787, 0.1061)
Y (0.7500, 0.2213, 0.8939)
Y (0.7500, 0.2078, 0.4530)
Y (0.2500, 0.7922, 0.5470)
Sn (0.2500, 0.3275, 0.2040)
Rh (0.2500, 0.3254, 0.7046)
Sn (0.7500, 0.6725, 0.7960)

Volume = 100 Å³/f.u.
DFT total energy = -6.868 eV/atom
Space group = P2_1/m (11)
Density = 6.62 g/cm3



Number 1: magnetic moment 0.00 μB/cell. Number 2: magnetic moment 0.00 μB/cell.